## Ho4GaPSe2 (PBE)

Data for Ho4GaPSe2 after structural relaxation.

extended XYZ file:
```
8
Lattice="7.086 0.000 0.000 0.000 3.991 0.000 -2.282 0.000 6.753" Properties=species:S:1:pos:R:3 pbc="T T T"
Ho 1.183 0.000 1.565
Ho 0.033 1.995 5.122
Ho 4.772 1.995 1.630
Ho 3.622 0.000 5.188
Ga 3.543 0.000 0.000
P 0.000 1.995 0.000
Se -1.141 0.000 3.376
Se 2.402 1.995 3.376
```

Computed properties:
As for the density: 7985 kg/m3. The density of states at the Fermi level is 2.47 states/eV per cell. The value obtained for the uncorrected formation energy is -1447 meV per atom.